No. 1
The following is a DFT calculation (PBE) of TlZnGe3 after structural relaxation.

Cell and atoms, written as extended XYZ:
```
5
Lattice="4.9504 0.0000 0.0000 0.0000 4.9504 0.0000 0.0000 0.0000 4.9504" Properties=species:S:1:pos:R:3 pbc="T T T"
Tl 0.0000 0.0000 0.0000
Zn 2.4752 2.4752 2.4752
Ge 0.0000 2.4752 2.4752
Ge 2.4752 0.0000 2.4752
Ge 2.4752 2.4752 0.0000
```

Calculated values
crystal system: cubic
excess energy over the best structure of this formula in the dataset: 0 meV/atom
DOS(E_F): 0.66 states/eV/atom
formation energy from the elements: 501 meV per atom

---

No. 2
The following is a DFT calculation (PBE) of Tm2RuPb after structural relaxation.

Cell and atoms, written as extended XYZ:
```
4
Lattice="1.7698 1.0218 9.0967 -1.7698 1.0218 9.0967 0.0000 -2.0436 9.0967" Properties=species:S:1:pos:R:3 pbc="T T T"
Tm 0.0000 0.0000 6.4081
Tm 0.0000 0.0000 20.8820
Ru 0.0000 0.0000 13.6451
Pb 0.0000 0.0000 0.0000
```

Calculated values
crystal system: trigonal
excess energy over the best structure of this formula in the dataset: 213 meV/atom
DOS(E_F): 0.84 states/eV/atom
formation energy from the elements: -298 meV per atom

---

No. 3
The following is a DFT calculation (PBE) of HoPu2Ni9 after structural relaxation.

Cell and atoms, written as extended XYZ:
```
12
Lattice="2.4637 1.4224 8.1385 -2.4637 1.4224 8.1385 0.0000 -2.8449 8.1385" Properties=species:S:1:pos:R:3 pbc="T T T"
Ho 0.0000 0.0000 0.0000
Pu 0.0000 0.0000 3.4745
Pu 0.0000 0.0000 20.9409
Ni -1.2331 -0.7119 10.1330
Ni 0.0000 0.0000 8.1285
Ni 0.0000 -1.4239 14.2824
Ni -1.2331 0.7119 14.2824
Ni 0.0000 0.0000 12.2077
Ni 1.2331 -0.7119 10.1330
Ni 0.0000 1.4239 10.1330
Ni 0.0000 0.0000 16.2870
Ni 1.2331 0.7119 14.2824
```

Calculated values
crystal system: trigonal
DOS(E_F): 2.22 states/eV/atom
formation energy from the elements: -308 meV per atom

---

No. 4
The following is a DFT calculation (PBE) of HoFe6Ge6 after structural relaxation.

Cell and atoms, written as extended XYZ:
```
26
Lattice="4.0677 -8.8320 0.0000 4.0677 8.8320 0.0000 0.0000 0.0000 5.1117" Properties=species:S:1:pos:R:3 pbc="T T T"
Ho 4.0677 6.5876 3.8337
Ho 4.0677 -6.5876 1.2779
Fe 2.0339 4.4160 0.0000
Fe 2.0339 4.4160 2.5558
Fe 2.0333 2.2081 3.8337
Fe 2.0267 0.0000 0.0000
Fe 2.0267 0.0000 2.5558
Fe 2.0333 -2.2081 1.2779
Fe 2.0339 -4.4160 0.0000
Fe 2.0339 -4.4160 2.5558
Fe 6.1021 2.2081 3.8337
Fe 6.1088 0.0000 0.0000
Fe 6.1088 0.0000 2.5558
Fe 6.1021 -2.2081 1.2779
Ge 4.0677 8.0859 1.2779
Ge 4.0677 5.1076 1.2779
Ge 2.8172 2.1976 1.2779
Ge 4.0677 3.6148 3.8337
Ge 4.0677 0.7194 3.8337
Ge 2.8172 -2.1976 3.8337
Ge 5.3182 2.1976 1.2779
Ge 4.0677 -0.7194 1.2779
Ge 4.0677 -3.6148 1.2779
Ge 5.3182 -2.1976 3.8337
Ge 4.0677 -5.1076 3.8337
Ge 4.0677 -8.0859 3.8337
```

Calculated values
crystal system: orthorhombic
DOS(E_F): 0.77 states/eV/atom
formation energy from the elements: -280 meV per atom

---

No. 5
The following is a DFT calculation (PBE) of Sm2YPd after structural relaxation.

Cell and atoms, written as extended XYZ:
```
16
Lattice="7.1442 0.0000 0.0000 0.0000 9.9805 0.0000 0.0000 0.0000 6.4901" Properties=species:S:1:pos:R:3 pbc="T T T"
Sm 1.3023 0.5995 1.1174
Sm 1.3023 4.3907 1.1174
Sm 2.2697 5.5898 4.3625
Sm 2.2697 9.3809 4.3625
Sm 4.8744 0.5995 2.1276
Sm 4.8744 4.3907 2.1276
Sm 5.8418 5.5898 5.3726
Sm 5.8418 9.3809 5.3726
Y 0.1908 2.4951 4.1527
Y 3.3813 7.4853 0.9076
Y 3.7629 2.4951 5.5824
Y 6.9534 7.4853 2.3374
Pd 0.8076 7.4853 6.0869
Pd 2.7645 2.4951 2.8419
Pd 4.3797 7.4853 3.6482
Pd 6.3366 2.4951 0.4032
```

Calculated values
crystal system: orthorhombic
excess energy over the best structure of this formula in the dataset: 0 meV/atom
DOS(E_F): 1.05 states/eV/atom
formation energy from the elements: -441 meV per atom

---

No. 6
The following is a DFT calculation (PBE) of Sr2TbPaAs4 after structural relaxation.

Cell and atoms, written as extended XYZ:
```
8
Lattice="7.3379 0.0000 0.0000 0.0000 4.2863 0.0000 -2.4500 0.0000 7.1338" Properties=species:S:1:pos:R:3 pbc="T T T"
Sr 0.0000 0.0000 0.0000
Sr 3.6690 2.1431 0.0000
Tb -1.2250 2.1431 3.5669
Pa 2.4440 0.0000 3.5669
As 0.0748 0.0000 5.1351
As 1.2786 2.1431 2.0186
As 3.6094 2.1431 5.1153
As 4.8131 0.0000 1.9987
```

Calculated values
crystal system: monoclinic
formation energy from the elements: -1277 meV per atom

---

No. 7
The following is a DFT calculation (PBE) of LiY2In after structural relaxation.

Cell and atoms, written as extended XYZ:
```
4
Lattice="0.0000 3.7570 3.7570 3.7570 0.0000 3.7570 3.7570 3.7570 0.0000" Properties=species:S:1:pos:R:3 pbc="T T T"
Li 0.0000 0.0000 0.0000
Y 3.7570 3.7570 3.7570
Y 5.6355 5.6355 5.6355
In 1.8785 1.8785 1.8785
```

Calculated values
crystal system: cubic
DOS(E_F): 1.15 states/eV/atom
formation energy from the elements: -19 meV per atom

---

No. 8
The following is a DFT calculation (PBE) of LiPCl3 after structural relaxation.

Cell and atoms, written as extended XYZ:
```
5
Lattice="4.9418 0.0000 0.0000 0.0000 4.9418 0.0000 0.0000 0.0000 4.9418" Properties=species:S:1:pos:R:3 pbc="T T T"
Li 0.0000 0.0000 0.0000
P 2.4709 2.4709 2.4709
Cl 0.0000 2.4709 2.4709
Cl 2.4709 0.0000 2.4709
Cl 2.4709 2.4709 0.0000
```

Calculated values
crystal system: cubic
excess energy over the best structure of this formula in the dataset: 0 meV/atom
DOS(E_F): 0.31 states/eV/atom

---

Number 1: calculated density 6.7 g/cm³. Number 2: calculated density 10.9 g/cm³. Number 3: calculated density 11.5 g/cm³. Number 4: calculated density 8.5 g/cm³. Number 5: calculated density 7.1 g/cm³. Number 6: calculated density 6.4 g/cm³. Number 7: calculated density 4.7 g/cm³. Number 8: calculated density 2.0 g/cm³.